[1]
Here is a geometry-optimized Hf3CuSn structure from the Alexandria database. Energies are from PBE-GGA.

The density of states at the Fermi level is 2.7 states/eV/f.u. Its formation energy from the elements is 27.6 kJ/mol of formula units. Its volume is 212.23 Å³ per cell. Its crystal system is hexagonal. The value obtained for the raw total energy is -7.5346 eV per atom.

abc: 6.7392 6.7392 5.3957
angles: 90.00 90.00 120.00
Closest atoms and distances in Å follow each position.
Space group P6_3/mmc (No. 194)
Symmetry-distinct sites (fractional):
Hf 0.1849 0.3699 0.2500 x6  2 Cu 2.55
Cu 0.0000 0.0000 0.0000 x2  6 Hf 2.55, 2 Cu 2.70
Sn 0.3333 0.6667 0.7500 x2  12 Hf 3.21-3.38


[2]
Here is a geometry-optimized Hf6CuSn structure from the Alexandria database. Energies are from PBE-GGA.

The density of states at the Fermi level is 6.5 states/eV/f.u. Its formation energy from the elements is -62.3 kJ/mol of formula units. Its volume is 498.13 Å³ per cell. Its crystal system is trigonal. The value obtained for the raw total energy is -8.5581 eV per atom.

abc: 7.7713 7.7713 9.5231
angles: 90.00 90.00 120.00
Closest atoms and distances in Å follow each position.
Space group R-3 (No. 148, hexagonal axes)
Symmetry-distinct sites (fractional):
Hf 0.0024 0.7506 0.2515 x18  2 Hf 2.70-2.79
Cu 0.0000 0.0000 0.5000 x3  12 Hf 3.06
Sn 0.0000 0.0000 0.0000 x3  12 Hf 3.08-3.09


[3]
Here is a geometry-optimized Hf12CuSn6 structure from the Alexandria database. Energies are from PBE-GGA.

The density of states at the Fermi level is 16.2 states/eV/f.u. Its formation energy from the elements is -253.2 kJ/mol of formula units. Its volume is 1240.83 Å³ per cell. Its crystal system is trigonal. The value obtained for the raw total energy is -7.9041 eV per atom.

abc: 10.5990 10.5990 12.7541
angles: 90.00 90.00 120.00
Closest atoms and distances in Å follow each position.
Space group R-3 (No. 148, hexagonal axes)
Symmetry-distinct sites (fractional):
Hf 0.0495 0.8658 0.3093 x18  4 Hf 2.95-3.03, 1 Cu 2.99, 5 Sn 3.09-3.23
Hf 0.0679 0.2152 0.9116 x18  4 Sn 2.95-3.16, 4 Hf 3.03-3.06
Cu 0.0000 0.0000 0.5000 x3  6 Sn 2.97, 6 Hf 2.99
Sn 0.0275 0.5882 0.2121 x18  9 Hf 2.95-3.23, 1 Cu 2.97, 2 Sn 3.14


[4]
Here is a geometry-optimized Hf3Cu3Sn4 structure from the Alexandria database. Energies are from PBE-GGA.

The density of states at the Fermi level is 4.6 states/eV/f.u. Its formation energy from the elements is -174.4 kJ/mol of formula units. Its volume is 783.41 Å³ per cell. Its crystal system is cubic. The value obtained for the raw total energy is -5.9968 eV per atom.

abc: 9.2185 9.2185 9.2185
angles: 90.00 90.00 90.00
Closest atoms and distances in Å follow each position.
Space group I-43d (No. 220)
Symmetry-distinct sites (fractional):
Hf 0.0000 0.2500 0.3750 x12  4 Cu 2.82
Cu 0.0000 0.2500 0.8750 x12  4 Sn 2.59, 4 Hf 2.82
Sn 0.0857 0.0857 0.0857 x16  3 Cu 2.59


[5]
Here is a geometry-optimized Hf2CuSn2 structure from the Alexandria database. Energies are from PBE-GGA.

The density of states at the Fermi level is 3.1 states/eV/f.u. Its formation energy from the elements is -10.2 kJ/mol of formula units. Its volume is 219.43 Å³ per cell. Its crystal system is tetragonal. The value obtained for the raw total energy is -6.4229 eV per atom.

abc: 7.0146 7.0146 4.4596
angles: 90.00 90.00 90.00
Closest atoms and distances in Å follow each position.
Space group P4/mbm (No. 127)
Symmetry-distinct sites (fractional):
Hf 0.1589 0.3411 0.0000 x4  2 Cu 2.64, 2 Sn 2.91
Cu 0.0000 0.0000 0.0000 x2  4 Hf 2.64
Sn 0.1532 0.6532 0.5000 x4  6 Hf 2.91-3.13, 1 Sn 3.04


[6]
Here is a geometry-optimized Hf2Cu2Sn structure from the Alexandria database. Energies are from PBE-GGA.

The density of states at the Fermi level is 5.6 states/eV/f.u. Its formation energy from the elements is -80.3 kJ/mol of formula units. Its volume is 180.47 Å³ per cell. Its crystal system is orthorhombic. The value obtained for the raw total energy is -6.5868 eV per atom.

abc: 3.9760 5.5597 8.1642
angles: 90.00 90.00 90.00
Closest atoms and distances in Å follow each position.
Space group Immm (No. 71)
Symmetry-distinct sites (fractional):
Hf 0.0000 0.0000 0.2057 x4  6 Cu 2.85-2.90, 2 Sn 3.12
Cu 0.0000 0.2910 0.5000 x4  1 Cu 2.32, 2 Sn 2.56
Sn 0.0000 0.5000 0.0000 x2  4 Cu 2.56


[7]
Here is a geometry-optimized Hf2CuSn structure from the Alexandria database. Energies are from PBE-GGA.

The density of states at the Fermi level is 4.6 states/eV/f.u. Its formation energy from the elements is 17.6 kJ/mol of formula units. Its volume is 86.96 Å³ per cell. Its crystal system is trigonal. The value obtained for the raw total energy is -6.9559 eV per atom.

abc: 4.2079 4.2079 5.6709
angles: 90.00 90.00 120.00
Closest atoms and distances in Å follow each position.
Space group P-3m1 (No. 164)
Symmetry-distinct sites (fractional):
Hf 0.3333 0.6667 0.2072 x2  3 Cu 2.70, 3 Sn 2.94
Cu 0.0000 0.0000 0.0000 x1  6 Hf 2.70, 2 Sn 2.84
Sn 0.0000 0.0000 0.5000 x1  2 Cu 2.84, 6 Hf 2.94


[8]
Here is a geometry-optimized Hf4CuSn structure from the Alexandria database. Energies are from PBE-GGA.

The density of states at the Fermi level is 6.2 states/eV/f.u. Its formation energy from the elements is -95.3 kJ/mol of formula units. Its volume is 248.07 Å³ per cell. Its crystal system is tetragonal. The value obtained for the raw total energy is -8.1501 eV per atom.

abc: 6.7066 6.7066 5.5155
angles: 90.00 90.00 90.00
Closest atoms and distances in Å follow each position.
Space group P4/mcc (No. 124)
Symmetry-distinct sites (fractional):
Hf 0.1404 0.3301 0.0000 x8  2 Cu 2.77, 1 Hf 2.96, 2 Sn 3.00
Cu 0.0000 0.0000 0.2500 x2  2 Cu 2.76, 8 Hf 2.77
Sn 0.5000 0.5000 0.2500 x2  2 Sn 2.76, 8 Hf 3.00